This record from Alexandria via LeMat-Bulk describes an optimized crystal structure of Ca2Mg5Bi3Pb2. The functional is PBE.

As for the density of states at the Fermi level: 7.0 states/eV/cell. The calculation puts the raw total energy at -2.72 eV per atom. The energy of formation from the pure elements comes out at -1.6 eV/f.u. As for the space-group type: I4/mmm (139).

```
Ca2Mg5Bi3Pb2
1.0
4.4551 0.0000 0.0000
0.0000 4.4551 0.0000
-2.2276 -2.2276 17.9035
Mg Bi Ca Pb
5 3 2 2
Direct
0.0687 0.5687 0.1374
0.9313 0.4313 0.8626
0.5687 0.0687 0.1374
0.4313 0.9313 0.8626
0.5000 0.5000 0.0000
0.0000 0.0000 0.0000
0.1847 0.1847 0.3694
0.8153 0.8153 0.6306
0.7190 0.7190 0.4379
0.2810 0.2810 0.5621
0.3701 0.3701 0.7403
0.6299 0.6299 0.2597
```



This record from Alexandria via LeMat-Bulk describes an optimized crystal structure of CaPmMgBi. The functional is PBE.

As for the density of states at the Fermi level: 5.7 states/eV/cell. The calculation puts the raw total energy at -3.40 eV per atom. The energy of formation from the pure elements comes out at -1.4 eV/f.u. As for the space-group type: F-43m (216).

```
CaPmMgBi
1.0
5.5447 0.0000 0.0000
2.7723 4.8018 0.0000
2.7723 1.6006 4.5272
Ca Pm Bi Mg
1 1 1 1
Direct
0.0000 0.0000 0.0000
0.5000 0.5000 0.5000
0.2500 0.2500 0.2500
0.7500 0.7500 0.7500
```



This record from Alexandria via LeMat-Bulk describes an optimized crystal structure of CaMg2ReBi. The functional is PBE.

As for the density of states at the Fermi level: 5.4 states/eV/cell. The calculation puts the raw total energy at -3.58 eV per atom. The energy of formation from the pure elements comes out at 3.6 eV/f.u. As for the space-group type: P4/mmm (123).

```
CaMg2ReBi
1.0
-0.1600 0.6335 5.1167
0.0550 -5.2423 0.6508
5.1555 0.0730 0.1522
Mg Bi Ca Re
2 1 1 1
Direct
0.5000 0.0000 0.0000
0.0000 0.0000 0.5000
0.5000 0.5000 0.5000
0.0000 0.5000 0.0000
0.0000 0.0000 0.0000
```



This record from Alexandria via LeMat-Bulk describes an optimized crystal structure of Ca2Mg2Bi2S. The functional is PBE.

As for the density of states at the Fermi level: 0.3 states/eV/cell. The calculation puts the raw total energy at -3.60 eV per atom. For the formation energy without anion corrections, the calculation gives -0.875 eV/atom. As for the space-group type: I4/mmm (139).

```
Ca2Mg2Bi2S
1.0
4.8511 0.0000 0.0000
0.0000 4.8511 0.0000
-2.4255 -2.4255 8.2390
Mg S Bi Ca
2 1 2 2
Direct
0.5000 0.0000 0.0000
0.0000 0.5000 0.0000
0.0000 0.0000 0.0000
0.3678 0.3678 0.7356
0.6322 0.6322 0.2644
0.1701 0.1701 0.3401
0.8299 0.8299 0.6599
```



This record from Alexandria via LeMat-Bulk describes an optimized crystal structure of CaMgBiSb2. The functional is PBE.

As for the density of states at the Fermi level: 4.1 states/eV/cell. The calculation puts the raw total energy at -2.66 eV per atom. For the formation energy without anion corrections, the calculation gives 0.488 eV/atom. As for the space-group type: P4/mmm (123).

```
CaMgBiSb2
1.0
-2.9540 1.4448 -4.6557
-4.8890 -1.8648 2.5233
-0.8669 5.2014 2.1642
Ca Sb Bi Mg
1 2 1 1
Direct
0.0000 0.0000 0.0000
0.5000 0.0000 0.0000
0.0000 0.0000 0.5000
0.0000 0.5000 0.0000
0.5000 0.5000 0.5000
```



This record from Alexandria via LeMat-Bulk describes an optimized crystal structure of Ca2Mg2Bi2Sb. The functional is PBE.

As for the density of states at the Fermi level: 2.2 states/eV/cell. The calculation puts the raw total energy at -3.26 eV per atom. For the formation energy without anion corrections, the calculation gives -0.530 eV/atom. As for the space-group type: P-1 (2).

```
Ca2Mg2Bi2Sb
1.0
4.6831 0.0104 0.0051
2.3673 6.8688 0.6440
0.0068 2.4768 7.0131
Sb Bi Ca Mg
1 2 2 2
Direct
0.0000 0.0000 0.0000
0.8432 0.3165 0.3306
0.1568 0.6835 0.6694
0.4250 0.1517 0.6832
0.5750 0.8483 0.3168
0.7783 0.4433 0.8823
0.2217 0.5567 0.1177
```



This record from Alexandria via LeMat-Bulk describes an optimized crystal structure of Ca2Mg2Bi2Se. The functional is PBE.

As for the density of states at the Fermi level: 0.7 states/eV/cell. The calculation puts the raw total energy at -3.39 eV per atom. For the formation energy without anion corrections, the calculation gives -0.753 eV/atom. As for the space-group type: I4/mmm (139).

```
Ca2Mg2Bi2Se
1.0
4.9880 0.0000 0.0000
0.0000 4.9880 0.0000
-2.4940 -2.4940 8.2939
Se Mg Ca Bi
1 2 2 2
Direct
0.0000 0.0000 0.0000
0.0000 0.5000 0.0000
0.5000 0.0000 0.0000
0.8256 0.8256 0.6511
0.1744 0.1744 0.3489
0.3690 0.3690 0.7381
0.6310 0.6310 0.2619
```



This record from Alexandria via LeMat-Bulk describes an optimized crystal structure of CaMg2TaBi. The functional is PBE.

As for the density of states at the Fermi level: 3.6 states/eV/cell. The calculation puts the raw total energy at -2.66 eV per atom. The energy of formation from the pure elements comes out at 7.6 eV/f.u. As for the space-group type: P4/mmm (123).

```
CaMg2TaBi
1.0
5.4003 0.0000 0.0000
0.0000 5.0696 0.0000
0.0000 0.0000 5.4003
Ca Bi Ta Mg
1 1 1 2
Direct
0.0000 0.0000 0.0000
0.5000 0.5000 0.5000
0.0000 0.5000 0.0000
0.5000 0.0000 0.0000
0.0000 0.0000 0.5000
```